(1)
This record from the Alexandria database describes an optimized crystal structure of NdSc2Hg3. The functional is PBE-GGA.

* calculated volume: 23.84 A^3/atom
* formation enthalpy at 0 K: -0.433 eV per atom

Geometry as extended XYZ:
```
6
Lattice="3.590 0.000 0.000 0.000 3.590 0.000 0.000 0.000 11.094" Properties=species:S:1:pos:R:3 pbc="T T T"
Nd 0.000 0.000 0.000
Sc 0.000 0.000 3.818
Sc 0.000 0.000 7.275
Hg 1.795 1.795 2.160
Hg 1.795 1.795 5.547
Hg 1.795 1.795 8.933
```

***

(2)
This record from the Alexandria database describes an optimized crystal structure of TbPm2HoN4. The functional is PBE-GGA.

* calculated volume: 15.75 A^3/atom
* raw formation energy: -12.45 eV per formula unit

Geometry as extended XYZ:
```
8
Lattice="6.137 0.000 0.000 0.000 3.545 0.000 -2.042 0.000 5.792" Properties=species:S:1:pos:R:3 pbc="T T T"
Tb 0.000 0.000 0.000
Pm -1.021 1.772 2.896
Pm 2.047 0.000 2.896
Ho 3.068 1.772 0.000
N 1.031 1.772 1.401
N 0.011 0.000 4.395
N 4.084 0.000 1.396
N 3.064 1.772 4.391
```

***

Please write out number 1 again, unchanged.
This record from the Alexandria database describes an optimized crystal structure of NdSc2Hg3. The functional is PBE-GGA.

* calculated volume: 23.84 A^3/atom
* formation enthalpy at 0 K: -0.433 eV per atom

Geometry as extended XYZ:
```
6
Lattice="3.590 0.000 0.000 0.000 3.590 0.000 0.000 0.000 11.094" Properties=species:S:1:pos:R:3 pbc="T T T"
Nd 0.000 0.000 0.000
Sc 0.000 0.000 3.818
Sc 0.000 0.000 7.275
Hg 1.795 1.795 2.160
Hg 1.795 1.795 5.547
Hg 1.795 1.795 8.933
```